This record from the Alexandria database describes AlTl2Hg2 after structural relaxation. The functional is PBE.

```
data_AlTl2Hg2
_chemical_formula_sum 'Al2 Tl4 Hg4'
_space_group_name_H-M_alt 'P 4/m b m'
_space_group_IT_number 127
_space_group_name_Hall '-P 4 2ab'
_cell_length_a 7.810
_cell_length_b 7.810
_cell_length_c 4.681
_cell_angle_alpha 90.00
_cell_angle_beta 90.00
_cell_angle_gamma 90.00
loop_
_atom_site_label
_atom_site_type_symbol
_atom_site_fract_x
_atom_site_fract_y
_atom_site_fract_z
Al1 Al 0.000 0.000 0.000
Tl1 Tl 0.156 0.344 0.000
Hg1 Hg 0.151 0.651 0.500
```

DFT total energy, eV per atom: -1.59
Polymorph energy (0 for the lowest one), kJ/mol of formula units: 50.4
Calculated volume, Å³ per atom: 28.550

This record from the Alexandria database describes AlTl2Hg2 after structural relaxation. The functional is PBE.

```
data_AlTl2Hg2
_chemical_formula_sum 'Al2 Tl4 Hg4'
_space_group_name_H-M_alt 'I 4/m m m'
_space_group_IT_number 139
_space_group_name_Hall '-I 4 2'
_cell_length_a 4.440
_cell_length_b 4.440
_cell_length_c 15.014
_cell_angle_alpha 90.00
_cell_angle_beta 90.00
_cell_angle_gamma 90.00
loop_
_atom_site_label
_atom_site_type_symbol
_atom_site_fract_x
_atom_site_fract_y
_atom_site_fract_z
Al1 Al 0.000 0.000 0.000
Tl1 Tl 0.000 0.500 0.250
Hg1 Hg 0.000 0.000 0.406
```

DFT total energy, eV per atom: -1.49
Polymorph energy (0 for the lowest one), kJ/mol of formula units: 96.8
Calculated volume, Å³ per atom: 29.602

This record from the Alexandria database describes Al2Tl2Hg after structural relaxation. The functional is PBE.

```
data_Al2Tl2Hg
_chemical_formula_sum 'Al4 Tl4 Hg2'
_space_group_name_H-M_alt 'P 4/m b m'
_space_group_IT_number 127
_space_group_name_Hall '-P 4 2ab'
_cell_length_a 6.986
_cell_length_b 6.986
_cell_length_c 5.100
_cell_angle_alpha 90.00
_cell_angle_beta 90.00
_cell_angle_gamma 90.00
loop_
_atom_site_label
_atom_site_type_symbol
_atom_site_fract_x
_atom_site_fract_y
_atom_site_fract_z
Al1 Al 0.134 0.366 0.000
Tl1 Tl 0.175 0.675 0.500
Hg1 Hg 0.000 0.000 0.000
```

DFT total energy, eV per atom: -2.35
Polymorph energy (0 for the lowest one), kJ/mol of formula units: 0.0
Calculated volume, Å³ per atom: 24.894

This record from the Alexandria database describes AlTl16Hg12 after structural relaxation. The functional is PBE.

```
data_AlTl16Hg12
_chemical_formula_sum 'Al2 Tl32 Hg24'
_space_group_name_H-M_alt 'C 1 m 1'
_space_group_IT_number 8
_cell_length_a 11.869
_cell_length_b 16.999
_cell_length_c 10.111
_cell_angle_alpha 90.00
_cell_angle_beta 125.08
_cell_angle_gamma 90.00
loop_
_space_group_symop_operation_xyz
'x,y,z'
'x,-y,z'
'x+1/2,y+1/2,z'
'x+1/2,-y+1/2,z'
loop_
_atom_site_label
_atom_site_type_symbol
_atom_site_fract_x
_atom_site_fract_y
_atom_site_fract_z
Al1 Al 0.000 0.000 0.000
Tl1 Tl 0.136 0.116 0.348
Tl2 Tl 0.157 0.190 0.051
Tl3 Tl 0.166 0.500 0.352
Tl4 Tl 0.166 0.500 0.718
Tl5 Tl 0.218 0.144 0.764
Tl6 Tl 0.279 0.000 0.033
Tl7 Tl 0.326 0.333 0.959
Tl8 Tl 0.355 0.321 0.363
Tl9 Tl 0.357 0.000 0.677
Tl10 Tl 0.475 0.199 0.695
Hg1 Hg 0.015 0.000 0.525
Hg2 Hg 0.082 0.406 0.008
Hg3 Hg 0.175 0.292 0.550
Hg4 Hg 0.355 0.500 0.149
Hg5 Hg 0.416 0.092 0.388
Hg6 Hg 0.423 0.403 0.719
Hg7 Hg 0.493 0.189 0.185
```

DFT total energy, eV per atom: -1.54
Calculated volume, Å³ per atom: 28.780

This record from the Alexandria database describes AlTl17Hg11 after structural relaxation. The functional is PBE.

```
data_AlTl17Hg11
_chemical_formula_sum 'Al2 Tl34 Hg22'
_space_group_name_H-M_alt 'C 1 m 1'
_space_group_IT_number 8
_cell_length_a 11.891
_cell_length_b 17.205
_cell_length_c 10.079
_cell_angle_alpha 90.00
_cell_angle_beta 125.60
_cell_angle_gamma 90.00
loop_
_space_group_symop_operation_xyz
'x,y,z'
'x,-y,z'
'x+1/2,y+1/2,z'
'x+1/2,-y+1/2,z'
loop_
_atom_site_label
_atom_site_type_symbol
_atom_site_fract_x
_atom_site_fract_y
_atom_site_fract_z
Al1 Al 0.000 0.000 0.000
Tl1 Tl 0.010 0.500 0.126
Tl2 Tl 0.068 0.336 0.363
Tl3 Tl 0.139 0.000 0.763
Tl4 Tl 0.140 0.000 0.404
Tl5 Tl 0.170 0.303 0.094
Tl6 Tl 0.177 0.340 0.760
Tl7 Tl 0.260 0.500 0.040
Tl8 Tl 0.329 0.195 0.453
Tl9 Tl 0.468 0.325 0.773
Tl10 Tl 0.474 0.000 0.488
Tl11 Tl 0.478 0.338 0.145
Hg1 Hg 0.113 0.171 0.553
Hg2 Hg 0.235 0.095 0.132
Hg3 Hg 0.297 0.500 0.667
Hg4 Hg 0.329 0.175 0.941
Hg5 Hg 0.338 0.412 0.407
Hg6 Hg 0.433 0.087 0.768
```

DFT total energy, eV per atom: -1.62
Calculated volume, Å³ per atom: 28.904

This record from the Alexandria database describes Al2Tl2Hg after structural relaxation. The functional is PBE.

```
data_Al2Tl2Hg
_chemical_formula_sum 'Al4 Tl4 Hg2'
_space_group_name_H-M_alt 'I 4/m m m'
_space_group_IT_number 139
_space_group_name_Hall '-I 4 2'
_cell_length_a 4.599
_cell_length_b 4.599
_cell_length_c 12.539
_cell_angle_alpha 90.00
_cell_angle_beta 90.00
_cell_angle_gamma 90.00
loop_
_atom_site_label
_atom_site_type_symbol
_atom_site_fract_x
_atom_site_fract_y
_atom_site_fract_z
Al1 Al 0.000 0.000 0.102
Tl1 Tl 0.000 0.500 0.250
Hg1 Hg 0.000 0.000 0.500
```

DFT total energy, eV per atom: -2.20
Polymorph energy (0 for the lowest one), kJ/mol of formula units: 73.1
Calculated volume, Å³ per atom: 26.520

Number 1: size of the total moment 0.00 μB/cell, energy of formation 0.23 eV/atom. Number 2: size of the total moment 0.00 μB/cell, energy of formation 0.32 eV/atom. Number 3: size of the total moment 0.00 μB/cell, energy of formation 0.15 eV/atom. Number 4: size of the total moment 0.00 μB/cell, energy of formation 0.02 eV/atom. Number 5: size of the total moment 0.00 μB/cell, energy of formation 0.02 eV/atom. Number 6: size of the total moment 0.00 μB/cell, energy of formation 0.30 eV/atom.